# 1
Computed, not measured: PmVSb2O8 after structural relaxation at the PBE+U level of DFT.

Cell lengths 7.0332, 7.0332, 7.2059 Å; angles 90.00, 90.00, 90.00 degrees
Last column: nearest neighbours and their distance in Å.
Space group I-4m2 (No. 119)
One atom of each set of equivalent atoms:
Pm  0.0000  0.0000  0.0000 (multiplicity 2)  4 O 2.20
V  0.0000  0.5000  0.7500 (multiplicity 2)  4 O 1.75
Sb  0.0000  0.0000  0.5000 (multiplicity 2)  4 O 2.27
Sb  0.0000  0.5000  0.2500 (multiplicity 2)  4 O 1.94
O  0.0000  0.2281  0.2079 (multiplicity 8)  1 Sb 1.94
O  0.0000  0.3070  0.5974 (multiplicity 8)  1 V 1.75

Results
Spin magnetization = 0.00 μB per atom
Volume = 14.9 A^3/atom
Energy = -161.38 eV for the cell shown



# 2
Computed, not measured: Pm2VSbO6 after structural relaxation at the PBE+U level of DFT.

Cell lengths 5.4671, 5.4671, 5.2346 Å; angles 90.00, 90.00, 90.00 degrees
Last column: nearest neighbours and their distance in Å.
Space group P4mm (No. 99)
One atom of each set of equivalent atoms:
Pm  0.0000  0.5000  0.0000 (multiplicity 2)  4 O 2.37
V  0.0000  0.0000  0.5831 (multiplicity 1)  5 O 1.91-1.99
Sb  0.5000  0.5000  0.6275 (multiplicity 1)  5 O 2.12-2.17
O  0.0000  0.0000  0.2185 (multiplicity 1)  1 V 1.91
O  0.2356  0.2356  0.7374 (multiplicity 4)  1 V 1.99, 1 Sb 2.12
O  0.5000  0.5000  0.0418 (multiplicity 1)  1 Sb 2.17

Results
Spin magnetization = 0.20 μB per atom
Volume = 15.6 A^3/atom
Energy = -73.45 eV for the cell shown



Which of these has the lowest volume?
PmVSb2O8



Which value of spin magnetization does entry 2 give?
0.20 μB per atom